Record 1
Material: TaC3Se
Method: DFT, PBE-GGA
State: relaxed

Cell lengths 3.8330, 3.8330, 3.8330 Å; angles 90.00, 90.00, 90.00 degrees
With the nearest neighbours (Å) after each atom.
Fractional coordinates of all 5 atoms:
Se (0.0000, 0.0000, 0.0000)  6 C 1.92
Ta (0.5000, 0.5000, 0.5000)  12 C 2.71
C (0.0000, 0.0000, 0.5000)  2 Se 1.92
C (0.0000, 0.5000, 0.0000)  2 Se 1.92
C (0.5000, 0.0000, 0.0000)  2 Se 1.92

E_form (uncorrected) = 2497 meV per atom
DOS(E_F) = 0.531 states/eV per atom
V = 11.26 A^3/atom
calculated density = 8.73 g cm⁻³

Record 2
Material: Ta2TeCSe
Method: DFT, PBE-GGA
State: relaxed

Cell lengths 4.9275, 3.8253, 4.9275 Å; angles 90.00, 90.00, 90.00 degrees
With the nearest neighbours (Å) after each atom.
Fractional coordinates of all 5 atoms:
Se (0.0000, 0.0000, 0.0000)  2 C 1.91
C (0.0000, 0.5000, 0.0000)  2 Se 1.91
Te (0.5000, 0.5000, 0.5000)  8 Ta 3.12, 4 C 3.48
Ta (0.5000, 0.0000, 0.0000)  2 Se 2.46
Ta (0.0000, 0.0000, 0.5000)  2 Se 2.46

E_form (uncorrected) = 1395 meV per atom
DOS(E_F) = 0.618 states/eV per atom
V = 18.58 A^3/atom
calculated density = 10.38 g cm⁻³

Record 3
Material: TaTlC2Se
Method: DFT, PBE-GGA
State: relaxed

Cell lengths 4.1755, 5.4813, 4.1755 Å; angles 90.00, 90.00, 90.00 degrees
With the nearest neighbours (Å) after each atom.
Fractional coordinates of all 5 atoms:
Se (0.0000, 0.5000, 0.0000)  2 Tl 2.74, 4 Ta 2.95
C (0.0000, 0.0000, 0.5000)  2 Tl 2.09
C (0.5000, 0.0000, 0.0000)  2 Tl 2.09
Ta (0.5000, 0.5000, 0.5000)  4 Se 2.95
Tl (0.0000, 0.0000, 0.0000)  4 C 2.09

E_form (uncorrected) = 2861 meV per atom
DOS(E_F) = 1.041 states/eV per atom
V = 19.11 A^3/atom
calculated density = 8.48 g cm⁻³

Record 4
Material: Ta2VCSe
Method: DFT, PBE-GGA
State: relaxed

Cell lengths 4.8409, 3.7657, 4.8409 Å; angles 90.00, 90.00, 90.00 degrees
With the nearest neighbours (Å) after each atom.
Fractional coordinates of all 5 atoms:
Ta (0.0000, 0.0000, 0.5000)  2 Se 2.42
Ta (0.5000, 0.0000, 0.0000)  2 Se 2.42
Se (0.0000, 0.0000, 0.0000)  2 C 1.88
C (0.0000, 0.5000, 0.0000)  2 Se 1.88
V (0.5000, 0.5000, 0.5000)  8 Ta 3.07, 4 C 3.42

E_form (uncorrected) = 1749 meV per atom
DOS(E_F) = 0.973 states/eV per atom
V = 17.65 A^3/atom
calculated density = 9.48 g cm⁻³

Record 5
Material: YTaC2Se
Method: DFT, PBE-GGA
State: relaxed

Cell lengths 4.1556, 5.2035, 4.1556 Å; angles 90.00, 90.00, 90.00 degrees
With the nearest neighbours (Å) after each atom.
Fractional coordinates of all 5 atoms:
Ta (0.0000, 0.0000, 0.0000)  4 C 2.08
C (0.5000, 0.0000, 0.0000)  2 Ta 2.08
C (0.0000, 0.0000, 0.5000)  2 Ta 2.08
Y (0.5000, 0.5000, 0.5000)  4 Se 2.94
Se (0.0000, 0.5000, 0.0000)  2 Ta 2.60

E_form (uncorrected) = 305 meV per atom
DOS(E_F) = 0.515 states/eV per atom
V = 17.97 A^3/atom
calculated density = 6.89 g cm⁻³

Record 6
Material: YTa2CSe
Method: DFT, PBE-GGA
State: relaxed

Cell lengths 4.2175, 5.4225, 4.2175 Å; angles 90.00, 90.00, 90.00 degrees
With the nearest neighbours (Å) after each atom.
Fractional coordinates of all 5 atoms:
C (0.0000, 0.0000, 0.0000)  4 Ta 2.11
Se (0.0000, 0.5000, 0.0000)  2 C 2.71, 4 Y 2.98
Ta (0.0000, 0.0000, 0.5000)  2 C 2.11
Ta (0.5000, 0.0000, 0.0000)  2 C 2.11
Y (0.5000, 0.5000, 0.5000)  4 Se 2.98

E_form (uncorrected) = 121 meV per atom
DOS(E_F) = 1.050 states/eV per atom
V = 19.29 A^3/atom
calculated density = 9.33 g cm⁻³

- Look up the calculated density of the third one.
  8.48 g cm⁻³

- Look up the calculated density of the first one.
  8.73 g cm⁻³

- Look up the DOS(E_F) of the first one.
  0.531 states/eV per atom

- Which of these has the highest calculated density?
  Ta2TeCSe